No. 1
ZrBRu2Pt after structural relaxation. Source: the Alexandria database, functional PBE. Values from VASP.

Results
Total DFT energy (no corrections) (eV/atom): -8.511
ΔE_f (eV/atom): -0.547
Mass density (g/cm3): 11.456

Geometry as Quantum ESPRESSO input:
```
&SYSTEM
  ibrav = 0, nat = 5, ntyp = 4
/
ATOMIC_SPECIES
Zr 91.22 Zr.upf
B 10.81 B.upf
Ru 101.07 Ru.upf
Pt 195.08 Pt.upf
CELL_PARAMETERS angstrom
4.1901 0.0000 0.0000
0.0000 4.1901 0.0000
0.0000 0.0000 4.1220
ATOMIC_POSITIONS angstrom
Zr 0.0000 0.0000 0.0000
B 2.0951 2.0951 2.0610
Ru 0.0000 2.0951 2.0610
Ru 2.0951 0.0000 2.0610
Pt 2.0951 2.0951 0.0000
```

No. 2
Ga2Te2Cl after structural relaxation. Source: the Alexandria database, functional PBE. Values from VASP.

Results
Energy above the lowest structure with this stoichiometry (meV/atom): 0
Total DFT energy (no corrections) (eV/atom): -3.151
Mass density (g/cm3): 5.005
Raw formation energy (eV/atom): -0.314

Geometry as Quantum ESPRESSO input:
```
&SYSTEM
  ibrav = 0, nat = 5, ntyp = 3
/
ATOMIC_SPECIES
Ga 69.72 Ga.upf
Te 127.60 Te.upf
Cl 35.45 Cl.upf
CELL_PARAMETERS angstrom
-2.3198 2.3198 6.6295
2.3198 -2.3198 6.6295
2.3198 2.3198 -6.6295
ATOMIC_POSITIONS angstrom
Ga 2.3198 0.0000 3.3147
Ga 0.0000 2.3198 3.3147
Te 0.0000 0.0000 1.7897
Te 0.0000 0.0000 11.4693
Cl 0.0000 0.0000 6.6295
```